# CrCu2Ir | Alexandria | PBE | optimized geometry
data_CrCu2Ir
_space_group_name_H-M_alt 'P 1'
_space_group_IT_number 1
_space_group_name_Hall 'P 1'
_cell_length_a 8.825
_cell_length_b 8.825
_cell_length_c 8.825
_cell_angle_alpha 17.03
_cell_angle_beta 17.03
_cell_angle_gamma 17.03
loop_
_atom_site_label
_atom_site_fract_x
_atom_site_fract_y
_atom_site_fract_z
Cr1 0.750 0.750 0.750
Ir1 0.250 0.250 0.250
Cu1 0.497 0.497 0.497
Cu2 0.003 0.003 0.003
# Electronic total energy in eV per atom: -6.41
# DFT formation energy in eV per atom: 0.257

# BaPrTcO6 | Alexandria | PBE | optimized geometry
data_BaPrTcO6
_space_group_name_H-M_alt 'P 1'
_space_group_IT_number 1
_space_group_name_Hall 'P 1'
_cell_length_a 5.781
_cell_length_b 5.781
_cell_length_c 5.549
_cell_angle_alpha 90.00
_cell_angle_beta 90.00
_cell_angle_gamma 60.00
loop_
_atom_site_label
_atom_site_fract_x
_atom_site_fract_y
_atom_site_fract_z
O1 0.344 0.599 0.303
O2 0.344 0.057 0.697
Ba1 0.000 0.000 0.000
Pr1 0.667 0.667 0.500
O3 0.057 0.344 0.303
O4 0.599 0.344 0.697
O5 0.057 0.599 0.697
Tc1 0.333 0.333 0.500
O6 0.599 0.057 0.303
# Electronic total energy in eV per atom: -7.40
# Uncorrected formation energy in meV per atom: -2194

# RhWCl2 | Alexandria | PBE | optimized geometry
data_RhWCl2
_space_group_name_H-M_alt 'P 1'
_space_group_IT_number 1
_space_group_name_Hall 'P 1'
_cell_length_a 3.098
_cell_length_b 3.098
_cell_length_c 8.624
_cell_angle_alpha 90.00
_cell_angle_beta 90.00
_cell_angle_gamma 125.07
loop_
_atom_site_label
_atom_site_fract_x
_atom_site_fract_y
_atom_site_fract_z
Rh1 0.500 0.500 0.250
W1 0.500 0.500 0.750
Cl1 0.000 0.000 0.985
Cl2 0.000 0.000 0.515
# Electronic total energy in eV per atom: -5.41
# Relative energy among the computed polymorphs in meV/atom: 783
# Uncorrected formation energy in meV per atom: 591

# KInTe2 | Alexandria | PBE | optimized geometry
data_KInTe2
_space_group_name_H-M_alt 'P 1'
_space_group_IT_number 1
_space_group_name_Hall 'P 1'
_cell_length_a 3.558
_cell_length_b 3.558
_cell_length_c 10.945
_cell_angle_alpha 90.00
_cell_angle_beta 90.00
_cell_angle_gamma 90.07
loop_
_atom_site_label
_atom_site_fract_x
_atom_site_fract_y
_atom_site_fract_z
Te1 0.000 0.000 0.971
Te2 0.500 0.500 0.307
In1 0.000 0.000 0.477
K1 0.500 0.500 0.745
# Electronic total energy in eV per atom: -2.74
# Uncorrected formation energy in meV per atom: -207

# RbSbCl5 | Alexandria | PBE | optimized geometry
data_RbSbCl5
_space_group_name_H-M_alt 'P 1'
_space_group_IT_number 1
_space_group_name_Hall 'P 1'
_cell_length_a 7.459
_cell_length_b 7.459
_cell_length_c 10.474
_cell_angle_alpha 70.14
_cell_angle_beta 70.14
_cell_angle_gamma 67.30
loop_
_atom_site_label
_atom_site_fract_x
_atom_site_fract_y
_atom_site_fract_z
Cl1 0.959 0.041 0.250
Cl2 0.670 0.942 0.608
Cl3 0.370 0.826 0.973
Cl4 0.630 0.174 0.027
Rb1 0.523 0.477 0.250
Cl5 0.942 0.670 0.108
Cl6 0.826 0.370 0.473
Rb2 0.477 0.523 0.750
Cl7 0.058 0.330 0.892
Sb1 0.000 0.000 0.500
Cl8 0.330 0.058 0.392
Sb2 0.000 0.000 0.000
Cl9 0.041 0.959 0.750
Cl10 0.174 0.630 0.527
# Electronic total energy in eV per atom: -3.12
# Uncorrected formation energy in meV per atom: -1070